# 1
Computed, not measured: a relaxed structure of LiLa2Au at the PBE level of DFT.

## Properties
* energy of formation: -0.318 eV/atom

Cell: 3.772 3.772 7.641 Å, 90.00 90.00 90.00°
Positions (direct):
Li 0.000 0.000 0.000
La 0.000 0.000 0.394
La 0.500 0.500 0.732
Au 0.500 0.500 0.159

=====

# 2
Computed, not measured: a relaxed structure of LiLaAu2 at the PBE level of DFT.

## Properties
* energy of formation: -0.729 eV/atom

Cell: 5.574 5.574 5.574 Å, 49.06 49.06 49.06°
Positions (direct):
Li 0.000 0.000 0.000
La 0.500 0.500 0.500
Au 0.284 0.284 0.284
Au 0.716 0.716 0.716

=====

# 3
Computed, not measured: a relaxed structure of LiLa2Au at the PBE level of DFT.

## Properties
* energy of formation: -0.192 eV/atom

Cell: 9.852 9.852 9.852 Å, 23.09 23.09 23.09°
Positions (direct):
Li 0.000 0.000 0.000
La 0.238 0.238 0.238
La 0.762 0.762 0.762
Au 0.500 0.500 0.500

=====

# 4
Computed, not measured: a relaxed structure of LiLa2Au at the PBE level of DFT.

## Properties
* energy of formation: -0.311 eV/atom

Cell: 4.626 4.626 6.548 Å, 110.79 110.79 60.06°
Positions (direct):
Li 0.000 0.000 0.000
La 0.233 0.233 0.701
La 0.431 0.431 0.291
Au 0.660 0.660 0.982

=====

# 5
Computed, not measured: a relaxed structure of Li2La3Au3 at the PBE level of DFT.

## Properties
* energy of formation: -0.588 eV/atom

Cell: 8.993 8.993 5.903 Å, 90.00 90.00 120.00°
Positions (direct):
Li 0.333 0.667 0.000
Li 0.333 0.667 0.500
Li 0.667 0.333 0.000
Li 0.667 0.333 0.500
La 0.000 0.270 0.250
La 0.000 0.730 0.750
La 0.270 0.000 0.250
La 0.270 0.270 0.750
La 0.730 0.000 0.750
La 0.730 0.730 0.250
Au 0.000 0.393 0.750
Au 0.000 0.607 0.250
Au 0.393 0.000 0.750
Au 0.393 0.393 0.250
Au 0.607 0.000 0.250
Au 0.607 0.607 0.750

=====

# 6
Computed, not measured: a relaxed structure of LiLa2Au at the PBE level of DFT.

## Properties
* energy of formation: -0.359 eV/atom

Cell: 5.276 5.276 3.923 Å, 90.00 90.00 90.00°
Positions (direct):
Li 0.000 0.000 0.000
La 0.000 0.500 0.500
La 0.500 0.000 0.500
Au 0.500 0.500 0.000

=====

# 7
Computed, not measured: a relaxed structure of Li2LaAu at the PBE level of DFT.

## Properties
* energy of formation: -0.252 eV/atom

Cell: 10.969 10.969 10.969 Å, 157.43 157.43 32.13°
Positions (direct):
Li 0.040 0.625 0.915
Li 0.375 0.290 0.415
Li 0.710 0.125 0.085
Li 0.875 0.960 0.585
La 0.250 0.750 0.500
La 0.500 0.500 0.000
Au 0.000 0.000 0.000
Au 0.750 0.250 0.500

=====

# 8
Computed, not measured: a relaxed structure of LiLaAu2 at the PBE level of DFT.

## Properties
* energy of formation: -0.475 eV/atom

Cell: 3.903 3.903 6.218 Å, 90.00 90.00 90.00°
Positions (direct):
Li 0.000 0.000 0.000
La 0.500 0.500 0.618
Au 0.000 0.000 0.411
Au 0.500 0.500 0.112